Entry 1:
! PBE La9ErO15, optimized geometry; values from VASP
&SYSTEM
  ibrav = 0, nat = 25, ntyp = 3
/
ATOMIC_SPECIES
La 138.91 La.upf
O 16.00 O.upf
Er 167.26 Er.upf
CELL_PARAMETERS angstrom
9.926 0.022 0.009
0.015 6.773 0.013
-2.241 3.393 6.063
ATOMIC_POSITIONS crystal
La 0.948 0.574 0.195
La 0.356 0.368 0.597
La 0.149 0.971 0.397
La 0.751 0.171 0.992
La 0.450 0.229 0.205
La 0.846 0.038 0.597
La 0.047 0.435 0.798
La 0.555 0.762 0.796
La 0.253 0.828 0.003
O 0.725 0.792 0.087
O 0.994 0.004 0.998
O 0.601 0.208 0.601
O 0.070 0.811 0.716
O 0.331 0.988 0.682
O 0.413 0.781 0.408
O 0.528 0.385 0.893
O 0.270 0.204 0.920
O 0.129 0.592 0.483
O 0.928 0.194 0.286
O 0.859 0.423 0.510
O 0.479 0.606 0.126
O 0.202 0.400 0.198
O 0.671 0.991 0.324
O 0.797 0.599 0.809
Er 0.648 0.644 0.379
! Size of the total moment in μB per cell: 0.0
! ρ in g/cm3: 6.758
! Formation energy without anion corrections in eV per atom: -3.44
! Density of states at the Fermi level in states/eV per cell: 0.00

Entry 2:
! PBE LaErO, optimized geometry; values from VASP
&SYSTEM
  ibrav = 0, nat = 3, ntyp = 3
/
ATOMIC_SPECIES
Er 167.26 Er.upf
La 138.91 La.upf
O 16.00 O.upf
CELL_PARAMETERS angstrom
3.584 0.000 0.000
-1.792 3.104 0.000
0.000 0.000 6.148
ATOMIC_POSITIONS crystal
Er 0.333 0.667 0.543
La 0.000 0.000 0.087
O 0.667 0.333 0.370
! Size of the total moment in μB per cell: 0.1
! ρ in g/cm3: 7.824
! Formation energy without anion corrections in eV per atom: -1.76
! Energy above the lowest structure with this stoichiometry in meV/atom: 0
! Density of states at the Fermi level in states/eV per cell: 1.35

Entry 3:
! PBE La3ErO, optimized geometry; values from VASP
&SYSTEM
  ibrav = 0, nat = 5, ntyp = 3
/
ATOMIC_SPECIES
La 138.91 La.upf
O 16.00 O.upf
Er 167.26 Er.upf
CELL_PARAMETERS angstrom
-0.083 3.306 -3.974
-4.606 -1.852 -1.444
-2.347 3.517 2.975
ATOMIC_POSITIONS crystal
La 0.000 0.500 0.000
La 0.000 0.000 0.500
La 0.500 0.000 0.000
O 0.000 0.000 0.000
Er 0.500 0.500 0.500
! Size of the total moment in μB per cell: 0.0
! ρ in g/cm3: 7.208
! Formation energy without anion corrections in eV per atom: -1.15
! Density of states at the Fermi level in states/eV per cell: 3.80